A relaxed structure of Na2GaNiP2. Source: Alexandria, functional GGA-PBE.

Summary:
- space group = Ibam
- formation energy (kJ per mole of atoms) = -34
- crystal system = orthorhombic
- electronic total energy (eV per atom) = -4.068

abc: 5.3395 5.7226 8.0250
angles: 110.89 109.43 90.00
With the nearest neighbours (Å) after each atom.
Fractional coordinates of all 12 atoms:
Ni: 0.5000 0.7500 0.0000  4 P 2.36
Na: 0.9378 0.6794 0.3587  5 P 2.83-3.08, 2 Ga 3.17
Ga: 0.0000 0.2500 0.0000  4 P 2.47, 2 Ni 2.67
Na: 0.4210 0.1794 0.3587  5 P 2.83-3.08, 2 Ga 3.17
P: 0.8305 0.1008 0.2016  2 Ni 2.36, 2 Ga 2.47
P: 0.3711 0.6008 0.2016  2 Ni 2.36, 2 Ga 2.47
P: 0.6289 0.3992 0.7984  2 Ni 2.36, 2 Ga 2.47
Ni: 0.5000 0.2500 0.0000  4 P 2.36
Ga: 0.0000 0.7500 0.0000  4 P 2.47, 2 Ni 2.67
Na: 0.0622 0.3206 0.6413  5 P 2.83-3.08, 2 Ga 3.17
Na: 0.5790 0.8206 0.6413  5 P 2.83-3.08, 2 Ga 3.17
P: 0.1695 0.8992 0.7984  2 Ni 2.36, 2 Ga 2.47



A relaxed structure of NaGa2NiPb. Source: Alexandria, functional GGA-PBE.

Summary:
- space group = P4/mmm
- formation energy (kJ per mole of atoms) = -4
- crystal system = tetragonal
- electronic total energy (eV per atom) = -3.419

abc: 4.6578 4.6578 5.2843
angles: 90.00 90.00 90.00
With the nearest neighbours (Å) after each atom.
Fractional coordinates of all 5 atoms:
Ga: 0.5000 0.0000 0.0000  2 Ni 2.33
Na: 0.5000 0.5000 0.5000  4 Pb 3.29, 8 Ga 3.52
Ga: 0.0000 0.5000 0.0000  2 Ni 2.33
Ni: 0.0000 0.0000 0.0000  4 Ga 2.33
Pb: 0.0000 0.0000 0.5000  2 Ni 2.64



A relaxed structure of NaGaNiSe3. Source: Alexandria, functional GGA-PBE.

Summary:
- space group = P2_1/m
- uncorrected formation energy (eV/atom) = -0.51
- crystal system = monoclinic
- electronic total energy (eV per atom) = -3.935

abc: 3.6781 7.8311 10.5191
angles: 103.07 90.00 90.00
With the nearest neighbours (Å) after each atom.
Fractional coordinates of all 12 atoms:
Na: 0.2500 0.1658 0.1620  5 Se 2.92-3.24
Se: 0.2500 0.5564 0.8669  3 Ni 2.41-2.45
Ni: 0.2500 0.6303 0.1059  5 Se 2.41-2.50
Se: 0.2500 0.1483 0.8512  1 Ga 2.38, 2 Ni 2.50
Ni: 0.7500 0.3697 0.8941  5 Se 2.41-2.50
Ga: 0.7500 0.8932 0.3800  4 Se 2.38-2.57
Na: 0.7500 0.8342 0.8380  5 Se 2.92-3.24
Se: 0.2500 0.7841 0.4963  3 Ga 2.47-2.57
Ga: 0.2500 0.1068 0.6200  4 Se 2.38-2.57
Se: 0.7500 0.8517 0.1488  1 Ga 2.38, 2 Ni 2.50
Se: 0.7500 0.4436 0.1331  3 Ni 2.41-2.45
Se: 0.7500 0.2159 0.5037  3 Ga 2.47-2.57



A relaxed structure of NaGa2NiSn. Source: Alexandria, functional GGA-PBE.

Summary:
- space group = P4/mmm
- formation energy (kJ per mole of atoms) = -8
- crystal system = tetragonal
- electronic total energy (eV per atom) = -3.517

abc: 4.6045 4.6045 5.0276
angles: 90.00 90.00 90.00
With the nearest neighbours (Å) after each atom.
Fractional coordinates of all 5 atoms:
Na: 0.5000 0.5000 0.5000  4 Sn 3.26, 8 Ga 3.41
Sn: 0.0000 0.0000 0.5000  2 Ni 2.51
Ga: 0.5000 0.0000 0.0000  2 Ni 2.30
Ga: 0.0000 0.5000 0.0000  2 Ni 2.30
Ni: 0.0000 0.0000 0.0000  4 Ga 2.30, 2 Sn 2.51



A relaxed structure of NaSr2GaNi. Source: Alexandria, functional GGA-PBE.

Summary:
- space group = P4/mmm
- formation energy (kJ per mole of atoms) = -13
- crystal system = tetragonal
- electronic total energy (eV per atom) = -2.828

abc: 5.8476 5.8476 4.6782
angles: 90.00 90.00 90.00
With the nearest neighbours (Å) after each atom.
Fractional coordinates of all 5 atoms:
Na: 0.5000 0.5000 0.5000  8 Sr 3.74, 4 Ga 4.13
Ga: 0.0000 0.0000 0.5000  2 Ni 2.34
Ni: 0.0000 0.0000 0.0000  2 Ga 2.34
Sr: 0.5000 0.0000 0.0000  2 Ni 2.92
Sr: 0.0000 0.5000 0.0000  2 Ni 2.92



A relaxed structure of Na2GaNiTe. Source: Alexandria, functional GGA-PBE.

Summary:
- space group = P4/mmm
- uncorrected formation energy (eV/atom) = -0.01
- crystal system = tetragonal
- electronic total energy (eV per atom) = -2.932

abc: 5.3018 4.5403 5.3018
angles: 90.00 90.00 90.00
With the nearest neighbours (Å) after each atom.
Fractional coordinates of all 5 atoms:
Na: 0.5000 0.0000 0.0000  2 Ni 2.65
Ni: 0.0000 0.0000 0.0000  2 Ga 2.27
Ga: 0.0000 0.5000 0.0000  2 Ni 2.27
Na: 0.0000 0.0000 0.5000  2 Ni 2.65
Te: 0.5000 0.5000 0.5000  8 Na 3.49, 4 Ga 3.75



| no. | volume (Å³/f.u.) |
| --- | --- |
| 1 | 107.0 |
| 2 | 114.6 |
| 3 | 147.6 |
| 4 | 106.6 |
| 5 | 160.0 |
| 6 | 127.6 |